# 1
Density functional theory data (GGA-PBE) for a geometry-optimized Pu3CdHg12 structure.

extended XYZ file:
```
16
Lattice="4.663 0.000 0.000 0.000 4.788 0.000 0.000 0.000 18.335" Properties=species:S:1:pos:R:3 pbc="T T T"
Pu 0.000 0.000 0.000
Pu 0.000 0.000 4.735
Pu 0.000 0.000 13.599
Cd 0.000 0.000 9.167
Hg 0.000 2.394 2.341
Hg 0.000 2.394 6.955
Hg 0.000 2.394 11.379
Hg 0.000 2.394 15.993
Hg 2.332 0.000 2.349
Hg 2.332 0.000 6.990
Hg 2.332 0.000 11.344
Hg 2.332 0.000 15.985
Hg 2.332 2.394 0.000
Hg 2.332 2.394 4.632
Hg 2.332 2.394 9.167
Hg 2.332 2.394 13.702
```

## Properties
The value obtained for the density of states at the Fermi level is 3.0502 states/eV/atom. For the calculated volume, the calculation gives 409.4 Å³ per cell. Its formation energy is -0.073 eV per atom. The value obtained for the theoretical density is 13.2 g/cm3.

---

# 2
Density functional theory data (GGA-PBE) for a geometry-optimized Pu4CdHg7 structure.

extended XYZ file:
```
12
Lattice="6.286 -2.737 0.000 6.286 2.737 0.000 -5.688 0.000 9.771" Properties=species:S:1:pos:R:3 pbc="T T T"
Pu -0.572 0.000 2.694
Pu -1.701 0.000 7.961
Pu 8.585 0.000 1.811
Pu 7.455 0.000 7.077
Cd 3.442 0.000 4.886
Hg -2.844 0.000 4.886
Hg 1.536 0.000 0.324
Hg 0.497 0.000 5.662
Hg 4.518 0.000 1.462
Hg 2.366 0.000 8.309
Hg 6.386 0.000 4.110
Hg 5.348 0.000 9.447
```

## Properties
The value obtained for the density of states at the Fermi level is 4.6939 states/eV/atom. For the calculated volume, the calculation gives 336.2 Å³ per cell. Its formation energy is 0.054 eV per atom. The value obtained for the theoretical density is 12.3 g/cm3.

---

Summary of total magnetic moment in μB per atom
0.37; 0.01
(order as listed above)